Compound: KCoSe2N
Source: Alexandria
Functional: GGA-PBE
Structure: optimized geometry Values from VASP.

Geometry as Quantum ESPRESSO input:
```
&SYSTEM
  ibrav = 0, nat = 5, ntyp = 4
/
ATOMIC_SPECIES
K 39.10 K.upf
Co 58.93 Co.upf
Se 78.96 Se.upf
N 14.01 N.upf
ATOMIC_POSITIONS angstrom
K 0.0000 0.0000 0.0000
Co 2.8839 2.8839 2.4042
Se 0.0000 2.8839 0.0000
Se 2.8839 0.0000 0.0000
N 0.0000 0.0000 2.4042
CELL_PARAMETERS angstrom
5.7678 0.0000 0.0000
0.0000 5.7678 0.0000
0.0000 0.0000 4.8085
```

For the calculated total energy, the calculation gives -2.692 eV/atom. The value obtained for the polymorph energy (0 for the lowest one) is 1.949 eV per atom. As for the space group: No. 123. As for the magnetization: 6.9 μB/f.u. For the uncorrected formation energy, the calculation gives 2.0073 eV per atom.